No. 1
Entry from the Alexandria database: a relaxed structure of CsHoCd17 (GGA-PBE).

Values from the calculation:
- volume (A^3/atom) = 24.6
- mass density (g/cm3) = 7.8
- E_form (meV/atom) = -46
- calculated total energy (eV/cell) = -65.57
- density of states at the Fermi level (states/eV per cell) = 22.84

a = 10.3136 Å, b = 10.3136 Å, c = 15.2391 Å
α = 90.00°, β = 90.00°, γ = 120.00°
Closest atoms and distances in Å follow each position.
Space group R3m (No. 160, hexagonal axes)
Asymmetric unit:
1 Cs 0.0000 0.0000 0.0000 x3  19 Cd 3.69-4.10
2 Ho 0.0000 0.0000 0.6650 x3  13 Cd 3.33-3.63
3 Cd 0.0000 0.0000 0.2488 x3  10 Cd 3.01-3.32
4 Cd 0.0000 0.0000 0.4466 x3  7 Cd 3.01-3.29, 1 Ho 3.33
5 Cd 0.0042 0.2965 0.3370 x18  8 Cd 2.97-3.32
6 Cd 0.0193 0.5096 0.1956 x9  9 Cd 2.98-3.28
7 Cd 0.0237 0.5119 0.8327 x9  10 Cd 2.98-3.29
8 Cd 0.0501 0.5250 0.4809 x9  6 Cd 2.98-3.16


No. 2
Entry from the Alexandria database: a relaxed structure of PrGaNi3Ge (GGA-PBE).

Values from the calculation:
- volume (A^3/atom) = 17.0
- mass density (g/cm3) = 7.5
- E_form (meV/atom) = -338
- calculated total energy (eV/cell) = -127.18
- density of states at the Fermi level (states/eV per cell) = 13.69

a = 6.2144 Å, b = 11.7176 Å, c = 5.5976 Å
α = 90.00°, β = 90.00°, γ = 90.00°
Closest atoms and distances in Å follow each position.
Space group Cmcm (No. 63)
Asymmetric unit:
1 Pr 0.0000 0.2155 0.2500 x4  1 Ga 2.98, 2 Ge 2.98, 8 Ni 3.10-3.15
2 Ga 0.0000 0.4697 0.2500 x4  5 Ni 2.36
3 Ni 0.0000 0.3290 0.7500 x4  1 Ge 2.36, 1 Ga 2.36
4 Ni 0.2005 0.0000 0.0000 x8  2 Ga 2.36, 2 Ge 2.40, 1 Ni 2.49
5 Ge 0.0000 0.1278 0.7500 x4  5 Ni 2.36-2.40


No. 3
Entry from the Alexandria database: a relaxed structure of K2CuAu (GGA-PBE).

Values from the calculation:
- volume (A^3/atom) = 34.0
- mass density (g/cm3) = 4.1
- energy above the most stable polymorph in this dataset (meV/atom) = 35
- E_form (meV/atom) = -25
- calculated total energy (eV/cell) = -9.67
- density of states at the Fermi level (states/eV per cell) = 0.60

a = 5.0485 Å, b = 4.7941 Å, c = 6.1565 Å
α = 90.00°, β = 114.08°, γ = 90.00°
Closest atoms and distances in Å follow each position.
Space group Pm (No. 6)
Asymmetric unit:
1 K 0.0000 0.0000 0.0000 x1  3 Au 3.30-3.49
2 K 0.2995 0.5000 0.6008 x1  3 Cu 3.25-3.57
3 Cu 0.6180 0.5000 0.2367 x1  2 Au 2.53
4 Au 0.6896 0.0000 0.3787 x1  2 Cu 2.53


No. 4
Entry from the Alexandria database: a relaxed structure of KGa3Bi3 (GGA-PBE).

Values from the calculation:
- volume (A^3/atom) = 36.8
- mass density (g/cm3) = 5.6
- E_form (meV/atom) = -29
- calculated total energy (eV/cell) = -44.05
- density of states at the Fermi level (states/eV per cell) = 3.19

a = 8.0183 Å, b = 8.0183 Å, c = 8.0183 Å
α = 90.00°, β = 90.00°, γ = 90.00°
Closest atoms and distances in Å follow each position.
Space group Pm-3n (No. 223)
Asymmetric unit:
1 K 0.0000 0.0000 0.0000 x2  12 Bi 4.48, 12 Ga 4.48
2 Ga 0.0000 0.2500 0.5000 x6  4 Bi 2.83
3 Bi 0.0000 0.5000 0.2500 x6  4 Ga 2.83


Question: Which value of calculated total energy does entry 3 give?
Answer: -9.67 eV/cell


Question: Number 1 is which compound?
Answer: CsHoCd17


Question: Look up the calculated total energy of the fourth one.
Answer: -44.05 eV/cell


Question: What is the formula in the second record?
Answer: PrGaNi3Ge